1.
# Co3MoSe

An optimized crystal structure of Co3MoSe (PBE, Alexandria via LeMat-Bulk).

Unit cell a=4.435 b=4.435 c=4.435 alpha=90.00 beta=90.00 gamma=90.00
Element x y z (fractional)
Co 0.000 0.500 0.000
Se 0.500 0.500 0.500
Co 0.500 0.000 0.000
Co 0.000 0.000 0.500
Mo 0.000 0.000 0.000

For the formation energy from raw total energies, the calculation gives 1.4962 eV/atom. The volume is 17.4 A^3/atom. As for the density of states at the Fermi level: 1.531 states/eV/atom.

2.
# CoMo2Se2

An optimized crystal structure of CoMo2Se2 (PBE, Alexandria via LeMat-Bulk).

Unit cell a=7.116 b=7.116 c=3.094 alpha=90.00 beta=90.00 gamma=90.00
Element x y z (fractional)
Se 0.153 0.347 0.000
Co 0.500 0.500 0.000
Mo 0.849 0.349 0.500
Mo 0.349 0.151 0.500
Co 0.000 0.000 0.000
Mo 0.151 0.651 0.500
Se 0.653 0.153 0.000
Se 0.347 0.847 0.000
Se 0.847 0.653 0.000
Mo 0.651 0.849 0.500

For the formation energy from raw total energies, the calculation gives 0.4123 eV/atom. The volume is 15.7 A^3/atom. As for the density of states at the Fermi level: 1.501 states/eV/atom.

3.
# CoMoSe3

An optimized crystal structure of CoMoSe3 (PBE, Alexandria via LeMat-Bulk).

Unit cell a=4.635 b=4.635 c=4.635 alpha=90.00 beta=90.00 gamma=90.00
Element x y z (fractional)
Mo 0.500 0.500 0.500
Se 0.000 0.000 0.500
Co 0.000 0.000 0.000
Se 0.000 0.500 0.000
Se 0.500 0.000 0.000

For the formation energy from raw total energies, the calculation gives 0.6869 eV/atom. The volume is 19.9 A^3/atom. As for the density of states at the Fermi level: 0.811 states/eV/atom.

4.
# CoMo2Se

An optimized crystal structure of CoMo2Se (PBE, Alexandria via LeMat-Bulk).

Unit cell a=3.199 b=3.199 c=5.769 alpha=90.00 beta=90.00 gamma=90.00
Element x y z (fractional)
Se 0.000 0.000 0.499
Mo 0.500 0.500 0.260
Mo 0.000 0.000 0.960
Co 0.500 0.500 0.781

For the formation energy from raw total energies, the calculation gives 0.1384 eV/atom. The volume is 14.8 A^3/atom. As for the density of states at the Fermi level: 0.912 states/eV/atom.

5.
# Co2MoSe

An optimized crystal structure of Co2MoSe (PBE, Alexandria via LeMat-Bulk).

Unit cell a=8.222 b=8.222 c=8.222 alpha=19.59 beta=19.59 gamma=19.59
Element x y z (fractional)
Mo 0.250 0.250 0.250
Se 0.750 0.750 0.750
Co 0.003 0.003 0.003
Co 0.497 0.497 0.497

For the formation energy from raw total energies, the calculation gives 0.3026 eV/atom. The volume is 13.7 A^3/atom. As for the density of states at the Fermi level: 1.179 states/eV/atom.

6.
# Co2MoSe

An optimized crystal structure of Co2MoSe (PBE, Alexandria via LeMat-Bulk).

Unit cell a=4.474 b=4.474 c=2.839 alpha=90.00 beta=90.00 gamma=110.74
Element x y z (fractional)
Mo 0.500 0.000 0.500
Se 0.000 0.500 0.500
Co 0.000 0.000 0.000
Co 0.500 0.500 0.000

For the formation energy from raw total energies, the calculation gives 0.3342 eV/atom. The volume is 13.3 A^3/atom. As for the density of states at the Fermi level: 1.219 states/eV/atom.